No. 1
HfSiTe2N: optimized geometry, PBE-GGA.

a = 5.567 Å, b = 5.567 Å, c = 3.310 Å
α = 90.00°, β = 90.00°, γ = 90.00°
Fractional positions:
Te 0.000 0.500 0.000
Te 0.500 0.000 0.000
N 0.000 0.000 0.500
Si 0.000 0.000 0.000
Hf 0.500 0.500 0.500

Properties
* formation energy (no corrections): 0.98 eV/f.u.
* distance to the lowest polymorph of the same formula: 0 meV per atom

***

No. 2
ScReAs: optimized geometry, PBE-GGA.

a = 4.285 Å, b = 4.285 Å, c = 4.285 Å
α = 60.00°, β = 60.00°, γ = 60.00°
Last column: magnetic moment on the atom in μB.
Fractional positions:
Re 0.000 0.000 0.000  0.89
As 0.750 0.750 0.750  0.00
Sc 0.500 0.500 0.500  0.11

Properties
* distance to the lowest polymorph of the same formula: 288 meV per atom
* formation energy: -0.03 eV/f.u.

***

No. 3
PmDy2Ga2Cu2: optimized geometry, PBE-GGA.

a = 4.414 Å, b = 4.414 Å, c = 9.527 Å
α = 76.60°, β = 76.60°, γ = 60.00°
Fractional positions:
Cu 0.598 0.598 0.207
Cu 0.402 0.402 0.793
Dy 0.125 0.125 0.625
Dy 0.875 0.875 0.375
Ga 0.739 0.739 0.782
Ga 0.261 0.261 0.218
Pm 0.000 0.000 0.000

Properties
* formation energy: -2.73 eV/f.u.

***

No. 4
Pa2Ni2Sb: optimized geometry, PBE-GGA.

a = 4.220 Å, b = 5.331 Å, c = 5.331 Å
α = 68.10°, β = 66.69°, γ = 66.69°
Fractional positions:
Pa 0.808 0.692 0.692
Pa 0.192 0.308 0.308
Ni 0.500 0.290 0.710
Ni 0.500 0.710 0.290
Sb 0.000 0.000 0.000

Properties
* formation energy (no corrections): -2.12 eV/f.u.
* distance to the lowest polymorph of the same formula: 80 meV per atom

***

Copy entry 3 word for word.
PmDy2Ga2Cu2: optimized geometry, PBE-GGA.

a = 4.414 Å, b = 4.414 Å, c = 9.527 Å
α = 76.60°, β = 76.60°, γ = 60.00°
Fractional positions:
Cu 0.598 0.598 0.207
Cu 0.402 0.402 0.793
Dy 0.125 0.125 0.625
Dy 0.875 0.875 0.375
Ga 0.739 0.739 0.782
Ga 0.261 0.261 0.218
Pm 0.000 0.000 0.000

Properties
* formation energy: -2.73 eV/f.u.